Record 1
Computed, not measured: crystalline KNa3Pd at its relaxed geometry at the PBE level of DFT.

Unit cell a=18.2815 b=10.8048 c=6.9252 alpha=90.00 beta=101.52 gamma=90.00
Space group C2/c (No. 15)
Symmetry-distinct sites (fractional):
K 0.0000 0.0663 0.2500 (multiplicity 4)
K 0.0000 0.3722 0.7500 (multiplicity 4)
Na 0.1669 0.4986 0.5924 (multiplicity 8)
Na 0.1698 0.1796 0.0836 (multiplicity 8)
Na 0.1779 0.1716 0.5800 (multiplicity 8)
Pd 0.0758 0.3325 0.2924 (multiplicity 8)

## Properties
The volume is 33.51 Å³ per atom. For the size of the total moment, the calculation gives 0.00 μB per formula unit. The formation enthalpy at 0 K comes out at 12 meV/atom.

=====

Record 2
Computed, not measured: crystalline K5Na12Pd3 at its relaxed geometry at the PBE level of DFT.

Unit cell a=19.2112 b=19.2112 c=19.2112 alpha=90.00 beta=90.00 gamma=90.00
Space group Ia-3d (No. 230)
Symmetry-distinct sites (fractional):
K 0.0000 0.0000 0.0000 (multiplicity 16)
K 0.0000 0.2500 0.3750 (multiplicity 24)
Na 0.0077 0.1078 0.6488 (multiplicity 96)
Pd 0.0000 0.2500 0.1250 (multiplicity 24)

## Properties
The volume is 44.31 Å³ per atom. For the size of the total moment, the calculation gives 0.00 μB per formula unit. The formation enthalpy at 0 K comes out at 220 meV/atom.

=====

Record 3
Computed, not measured: crystalline KNa2Pd at its relaxed geometry at the PBE level of DFT.

Unit cell a=4.8642 b=4.8642 c=21.4073 alpha=90.00 beta=90.00 gamma=90.00
Space group I-42d (No. 122)
Symmetry-distinct sites (fractional):
K 0.0000 0.0000 0.0000 (multiplicity 4)
Na 0.1874 0.2500 0.6250 (multiplicity 8)
Pd 0.0000 0.0000 0.5000 (multiplicity 4)

## Properties
The volume is 31.66 Å³ per atom. For the size of the total moment, the calculation gives 0.00 μB per formula unit. The formation enthalpy at 0 K comes out at 171 meV/atom.

=====

Record 4
Computed, not measured: crystalline KNa2Pd at its relaxed geometry at the PBE level of DFT.

Unit cell a=4.8205 b=4.8205 c=4.9586 alpha=90.00 beta=90.00 gamma=90.00
Space group P4/mmm (No. 123)
Symmetry-distinct sites (fractional):
K 0.0000 0.0000 0.0000 (multiplicity 1)
Na 0.0000 0.5000 0.5000 (multiplicity 2)
Pd 0.5000 0.5000 0.0000 (multiplicity 1)

## Properties
The volume is 28.81 Å³ per atom. For the size of the total moment, the calculation gives 0.00 μB per formula unit. The formation enthalpy at 0 K comes out at 128 meV/atom.

=====

Record 5
Computed, not measured: crystalline KNa3Pd at its relaxed geometry at the PBE level of DFT.

Unit cell a=9.7205 b=7.5166 c=10.9376 alpha=90.00 beta=118.38 gamma=90.00
Space group P2_1/c (No. 14)
Symmetry-distinct sites (fractional):
K 0.1642 0.0582 0.2559 (multiplicity 4)
Na 0.1731 0.6351 0.0635 (multiplicity 4)
Na 0.3159 0.0061 0.9291 (multiplicity 4)
Na 0.4727 0.1680 0.7003 (multiplicity 4)
Pd 0.4610 0.6580 0.0348 (multiplicity 4)

## Properties
The volume is 35.15 Å³ per atom. For the size of the total moment, the calculation gives 0.00 μB per formula unit. The formation enthalpy at 0 K comes out at -11 meV/atom.

=====

Record 6
Computed, not measured: crystalline KNa3Pd at its relaxed geometry at the PBE level of DFT.

Unit cell a=5.6664 b=5.6664 c=5.6664 alpha=90.00 beta=90.00 gamma=90.00
Space group Pm-3m (No. 221)
Symmetry-distinct sites (fractional):
K 0.0000 0.0000 0.0000 (multiplicity 1)
Na 0.0000 0.5000 0.5000 (multiplicity 3)
Pd 0.5000 0.5000 0.5000 (multiplicity 1)

## Properties
The volume is 36.39 Å³ per atom. For the size of the total moment, the calculation gives 0.00 μB per formula unit. The formation enthalpy at 0 K comes out at 20 meV/atom.

=====

Record 7
Computed, not measured: crystalline KNaPd2 at its relaxed geometry at the PBE level of DFT.

Unit cell a=4.8720 b=4.8720 c=19.5832 alpha=90.00 beta=90.00 gamma=90.00
Space group I-42d (No. 122)
Symmetry-distinct sites (fractional):
K 0.0000 0.0000 0.0000 (multiplicity 4)
Na 0.0000 0.0000 0.5000 (multiplicity 4)
Pd 0.0955 0.2500 0.6250 (multiplicity 8)

## Properties
The volume is 29.05 Å³ per atom. For the size of the total moment, the calculation gives 0.00 μB per formula unit. The formation enthalpy at 0 K comes out at 242 meV/atom.

=====

Record 8
Computed, not measured: crystalline KNa2Pd at its relaxed geometry at the PBE level of DFT.

Unit cell a=5.0593 b=5.0593 c=18.1125 alpha=90.00 beta=90.00 gamma=120.00
Space group R3m (No. 160, hexagonal axes)
Symmetry-distinct sites (fractional):
K 0.0000 0.0000 0.0000 (multiplicity 3)
Na 0.0000 0.0000 0.5350 (multiplicity 3)
Na 0.0000 0.0000 0.8009 (multiplicity 3)
Pd 0.0000 0.0000 0.1917 (multiplicity 3)

## Properties
The volume is 33.46 Å³ per atom. For the size of the total moment, the calculation gives 0.00 μB per formula unit. The formation enthalpy at 0 K comes out at 33 meV/atom.